Version 1
Entry from the Alexandria database: BaYSe2Br after structural relaxation (PBE).

POSCAR file:
```
BaYSe2Br
1.0
5.543 0.000 0.000
0.000 5.543 0.000
0.000 0.000 5.476
Y Se Ba Br
1 2 1 1
direct
0.000 0.000 0.000
0.000 0.500 0.000
0.500 0.000 0.000
0.500 0.500 0.500
0.000 0.000 0.500
```

## Properties
SG: P4/mmm

Version 2
Entry from the Alexandria database: BaYSe2Br after structural relaxation (PBE).

POSCAR file:
```
BaYSe2Br
1.0
-1.097 4.475 3.853
-2.229 -3.943 3.945
5.255 -0.682 2.288
Y Se Ba Br
1 2 1 1
direct
0.500 0.500 0.500
0.000 0.500 0.000
0.500 0.000 0.000
0.000 0.000 0.000
0.000 0.000 0.500
```

## Properties
SG: P4/mmm

Most favorable structure: version 1. The second most favorable one is 1341 meV/atom above it.

Version 1
Entry from the Alexandria database: BaZnSeBr2 after structural relaxation (PBE).

POSCAR file:
```
BaZnSeBr2
1.0
6.287 0.000 0.000
0.000 6.287 0.000
0.000 0.000 6.777
Zn Se Ba Br
1 1 1 2
direct
0.500 0.500 0.500
0.000 0.000 0.500
0.000 0.000 0.000
0.000 0.500 0.000
0.500 0.000 0.000
```

## Properties
SG: P4/mmm

Version 2
Entry from the Alexandria database: BaZnSeBr2 after structural relaxation (PBE).

POSCAR file:
```
BaZnSeBr2
1.0
5.291 0.000 0.000
0.000 5.291 0.000
0.000 0.000 5.124
Zn Se Ba Br
1 1 1 2
direct
0.000 0.000 0.000
0.000 0.000 0.500
0.500 0.500 0.500
0.000 0.500 0.000
0.500 0.000 0.000
```

## Properties
SG: P4/mmm

Most favorable structure: version 2. The second most favorable one is 713 meV/atom above it.

Version 1
Entry from the Alexandria database: BaZrSe2Br after structural relaxation (PBE).

POSCAR file:
```
BaZrSe2Br
1.0
-2.901 4.532 2.557
-2.009 -3.676 4.236
4.733 1.183 3.272
Br Se Ba Zr
1 2 1 1
direct
0.000 0.000 0.500
0.000 0.500 0.000
0.500 0.000 0.000
0.000 0.000 0.000
0.500 0.500 0.500
```

## Properties
SG: P4/mmm

Version 2
Entry from the Alexandria database: BaZrSe2Br after structural relaxation (PBE).

POSCAR file:
```
BaZrSe2Br
1.0
-1.047 -3.751 -3.620
3.042 -3.438 2.683
-4.228 -1.540 2.819
Br Se Ba Zr
1 2 1 1
direct
0.000 0.000 0.500
0.000 0.500 0.000
0.500 0.000 0.000
0.500 0.500 0.500
0.000 0.000 0.000
```

## Properties
SG: P4/mmm

Most favorable structure: version 2. The second most favorable one is 1661 meV/atom above it.

Version 1
Entry from the Alexandria database: BaZrSeBr2 after structural relaxation (PBE).

POSCAR file:
```
BaZrSeBr2
1.0
-0.849 4.966 1.837
-5.239 -0.520 -1.018
-0.761 -1.947 4.911
Br Se Ba Zr
2 1 1 1
direct
0.000 0.500 0.000
0.500 0.000 0.000
0.000 0.000 0.500
0.500 0.500 0.500
0.000 0.000 0.000
```

## Properties
SG: P4/mmm

Version 2
Entry from the Alexandria database: BaZrSeBr2 after structural relaxation (PBE).

POSCAR file:
```
BaZrSeBr2
1.0
5.972 0.000 0.000
0.000 5.972 0.000
0.000 0.000 6.278
Br Se Ba Zr
2 1 1 1
direct
0.000 0.500 0.000
0.500 0.000 0.000
0.000 0.000 0.500
0.000 0.000 0.000
0.500 0.500 0.500
```

## Properties
SG: P4/mmm

Most favorable structure: version 1. The second most favorable one is 1151 meV/atom above it.

Version 1
Entry from the Alexandria database: Ba2SnBr after structural relaxation (PBE).

POSCAR file:
```
Ba2SnBr
1.0
7.384 0.000 0.000
0.000 7.384 0.000
3.692 3.692 8.328
Ba Br Sn
4 2 2
direct
0.619 0.125 0.250
0.131 0.625 0.250
0.375 0.381 0.750
0.875 0.869 0.750
0.500 0.500 0.000
0.250 0.750 0.500
0.000 0.000 0.000
0.750 0.250 0.500
```

## Properties
SG: I-42d

Version 2
Entry from the Alexandria database: Ba2SnBr after structural relaxation (PBE).

POSCAR file:
```
Ba2SnBr
1.0
6.999 0.000 0.000
0.000 7.036 -0.320
0.000 -1.767 13.475
Ba Sn Br
8 4 4
direct
0.750 0.934 0.882
0.250 0.066 0.118
0.750 0.566 0.618
0.250 0.434 0.382
0.750 0.522 0.115
0.250 0.478 0.885
0.750 0.978 0.385
0.250 0.022 0.615
0.250 0.907 0.346
0.750 0.093 0.654
0.250 0.593 0.154
0.750 0.407 0.846
0.251 0.539 0.629
0.749 0.461 0.371
0.251 0.961 0.871
0.749 0.039 0.129
```

## Properties
SG: P2/c

Version 3
Entry from the Alexandria database: Ba2SnBr after structural relaxation (PBE).

POSCAR file:
```
Ba2SnBr
1.0
-3.446 2.539 2.019
-4.512 -1.354 -0.451
-1.917 -4.549 7.998
Ba Sn Br
2 1 1
direct
0.080 0.080 0.759
0.255 0.255 0.236
0.667 0.667 0.998
0.498 0.498 0.507
```

## Properties
SG: R3m

Version 4
Entry from the Alexandria database: Ba2SnBr after structural relaxation (PBE).

POSCAR file:
```
Ba2SnBr
1.0
-2.687 -3.868 -1.101
1.293 -2.879 -3.665
4.200 -7.026 3.809
Ba Br Sn
2 1 1
direct
0.252 0.252 0.244
0.748 0.748 0.756
0.500 0.500 0.500
0.000 0.000 0.000
```

## Properties
SG: R-3m

Most favorable structure: version 2. The second most favorable one is 57 meV/atom above it.

Version 1
Entry from the Alexandria database: Ba2SnBr after structural relaxation (PBE).

POSCAR file:
```
Ba2SnBr
1.0
0.400 -5.730 -1.842
0.335 -4.454 4.053
-4.667 -3.745 0.758
Ba Br Sn
2 1 1
direct
0.250 0.250 0.250
0.750 0.750 0.750
0.000 0.000 0.000
0.500 0.500 0.500
```

## Properties
SG: Fm-3m

Version 2
Entry from the Alexandria database: Ba2SnBr after structural relaxation (PBE).

POSCAR file:
```
Ba2SnBr
1.0
-1.445 1.673 3.406
-0.621 -3.700 1.554
8.316 0.071 3.493
Ba Br Sn
2 1 1
direct
0.000 0.000 0.740
0.000 0.000 0.260
0.500 0.500 0.000
0.500 0.500 0.500
```

## Properties
SG: P4/mmm

Most favorable structure: version 2. The second most favorable one is 138 meV/atom above it.

Version 1
Entry from the Alexandria database: BaSn2Br after structural relaxation (PBE).

POSCAR file:
```
BaSn2Br
1.0
2.392 -5.248 0.050
-2.374 -4.281 -3.050
2.658 -2.003 -4.711
Ba Br Sn
1 1 2
direct
0.500 0.500 0.500
0.000 0.000 0.000
0.250 0.250 0.250
0.750 0.750 0.750
```

## Properties
SG: Fm-3m

Version 2
Entry from the Alexandria database: BaSn2Br after structural relaxation (PBE).

POSCAR file:
```
BaSn2Br
1.0
4.504 0.000 0.000
0.000 4.504 0.000
2.252 2.252 14.353
Ba Br Sn
2 2 4
direct
0.000 0.000 0.000
0.750 0.250 0.500
0.500 0.500 0.000
0.250 0.750 0.500
0.651 0.125 0.250
0.099 0.625 0.250
0.375 0.349 0.750
0.875 0.901 0.750
```

## Properties
SG: I-42d

Most favorable structure: version 2. The second most favorable one is 569 meV/atom above it.

Version 1
Entry from the Alexandria database: BaSr3Br after structural relaxation (PBE).

POSCAR file:
```
BaSr3Br
1.0
-5.469 -5.231 0.383
4.416 -4.294 4.415
-2.831 3.409 6.147
Sr Ba Br
3 1 1
direct
0.000 0.500 0.000
0.000 0.000 0.500
0.500 0.000 0.000
0.000 0.000 0.000
0.500 0.500 0.500
```

## Properties
SG: Pm-3m

Version 2
Entry from the Alexandria database: BaSr3Br after structural relaxation (PBE).

POSCAR file:
```
BaSr3Br
1.0
-5.487 -3.298 -0.400
0.596 -1.736 6.146
-3.268 5.220 1.791
Sr Ba Br
3 1 1
direct
0.000 0.500 0.000
0.000 0.000 0.500
0.500 0.000 0.000
0.500 0.500 0.500
0.000 0.000 0.000
```

## Properties
SG: Pm-3m

Most favorable structure: version 2. The second most favorable one is 962 meV/atom above it.

Version 1
Entry from the Alexandria database: Ba3SrBr after structural relaxation (PBE).

POSCAR file:
```
Ba3SrBr
1.0
6.537 0.000 0.000
0.000 6.537 0.000
0.000 0.000 6.537
Sr Ba Br
1 3 1
direct
0.500 0.500 0.500
0.000 0.500 0.000
0.000 0.000 0.500
0.500 0.000 0.000
0.000 0.000 0.000
```

## Properties
SG: Pm-3m

Version 2
Entry from the Alexandria database: Ba3SrBr after structural relaxation (PBE).

POSCAR file:
```
Ba3SrBr
1.0
-0.241 -6.943 -1.837
4.464 -1.585 5.404
-5.626 -0.960 4.366
Sr Ba Br
1 3 1
direct
0.000 0.000 0.000
0.000 0.500 0.000
0.000 0.000 0.500
0.500 0.000 0.000
0.500 0.500 0.500
```

## Properties
SG: Pm-3m

Most favorable structure: version 1. The second most favorable one is 808 meV/atom above it.

Version 1
Entry from the Alexandria database: BaTc3Br after structural relaxation (PBE).

POSCAR file:
```
BaTc3Br
1.0
5.361 0.000 0.000
0.000 5.361 0.000
0.000 0.000 5.361
Ba Br Tc
1 1 3
direct
0.000 0.000 0.000
0.500 0.500 0.500
0.000 0.500 0.000
0.000 0.000 0.500
0.500 0.000 0.000
```

## Properties
SG: Pm-3m

Version 2
Entry from the Alexandria database: BaTc3Br after structural relaxation (PBE).

POSCAR file:
```
BaTc3Br
1.0
4.782 0.000 0.000
0.000 4.782 0.000
0.000 0.000 4.782
Ba Br Tc
1 1 3
direct
0.500 0.500 0.500
0.000 0.000 0.000
0.000 0.500 0.000
0.000 0.000 0.500
0.500 0.000 0.000
```

## Properties
SG: Pm-3m

Most favorable structure: version 2. The second most favorable one is 1434 meV/atom above it.

Version 1
Entry from the Alexandria database: BaTcBr after structural relaxation (PBE).

POSCAR file:
```
BaTcBr
1.0
4.510 0.000 0.000
-2.255 3.906 0.000
0.000 0.000 4.655
Ba Br Tc
1 1 1
direct
0.000 0.000 0.000
0.667 0.333 0.500
0.333 0.667 0.500
```

## Properties
SG: P-6m2

Version 2
Entry from the Alexandria database: BaTcBr after structural relaxation (PBE).

POSCAR file:
```
BaTcBr
1.0
5.636 0.000 0.000
2.818 4.881 0.000
2.818 1.627 4.602
Ba Br Tc
1 1 1
direct
0.750 0.750 0.750
0.000 0.000 0.000
0.500 0.500 0.500
```

## Properties
SG: F-43m

Version 3
Entry from the Alexandria database: BaTcBr after structural relaxation (PBE).

POSCAR file:
```
BaTcBr
1.0
-1.533 4.995 -0.859
-0.358 1.845 -4.950
-4.751 0.984 -2.121
Ba Br Tc
1 1 1
direct
0.500 0.500 0.500
0.750 0.750 0.750
0.000 0.000 0.000
```

## Properties
SG: F-43m

Most favorable structure: version 1. The second most favorable one is 330 meV/atom above it.

Version 1
Entry from the Alexandria database: BaTcBr after structural relaxation (PBE).

POSCAR file:
```
BaTcBr
1.0
-0.091 -1.632 -3.545
2.168 -1.595 2.828
-5.459 -3.949 1.959
Ba Br Tc
1 1 1
direct
0.000 0.000 0.001
0.667 0.333 0.361
0.333 0.667 0.638
```

## Properties
SG: P3m1

Version 2
Entry from the Alexandria database: BaTcBr after structural relaxation (PBE).

POSCAR file:
```
BaTcBr
1.0
6.624 -0.057 0.000
4.579 4.787 0.000
-5.602 -2.365 2.629
Ba Br Tc
1 1 1
direct
0.006 0.006 0.000
0.304 0.304 0.000
0.691 0.691 0.000
```

## Properties
SG: I4mm

Most favorable structure: version 2. The second most favorable one is 75 meV/atom above it.